Material: Sc2Hg2I
Method: DFT, PBE-GGA
State: optimized geometry

Results
energy above the lowest structure with this stoichiometry = 0.00 kJ/mol of atoms
symmetry = P4/mbm, No. 127
density = 8199 kg/m3
E_form (uncorrected) = -0.364 eV/atom

abc: 7.825 7.825 4.088
angles: 90.00 90.00 90.00
Fractional positions:
Sc 0.156 0.344 0.000
Sc 0.344 0.844 0.000
Sc 0.656 0.156 0.000
Sc 0.844 0.656 0.000
Hg 0.142 0.642 0.500
Hg 0.358 0.142 0.500
Hg 0.642 0.858 0.500
Hg 0.858 0.358 0.500
I 0.000 0.000 0.000
I 0.500 0.500 0.000


Material: PuNbCr
Method: DFT, PBE-GGA
State: optimized geometry

Results
symmetry = R3m, No. 160
E_form = 719 meV per atom
density = 11519 kg/m3

abc: 7.795 7.795 7.795
angles: 21.56 21.56 21.56
Fractional positions:
Pu 0.000 0.000 0.000
Nb 0.874 0.874 0.874
Cr 0.769 0.769 0.769


Material: RbCl
Method: DFT, PBE-GGA
State: optimized geometry

Results
symmetry = Pm-3n, No. 223
density = 1606 kg/m3
E_form (uncorrected) = -1.840 eV/atom

abc: 9.087 9.087 9.087
angles: 90.00 90.00 90.00
Fractional positions:
Rb 0.000 0.250 0.500
Rb 0.000 0.750 0.500
Rb 0.250 0.500 0.000
Rb 0.500 0.000 0.250
Rb 0.500 0.000 0.750
Rb 0.750 0.500 0.000
Cl 0.000 0.500 0.250
Cl 0.000 0.500 0.750
Cl 0.250 0.000 0.500
Cl 0.500 0.250 0.000
Cl 0.500 0.750 0.000
Cl 0.750 0.000 0.500


Material: Pm8Si2Tc
Method: DFT, PBE-GGA
State: optimized geometry

Results
symmetry = C2/m, No. 12
density = 7170 kg/m3
E_form (uncorrected) = -0.204 eV/atom

abc: 9.262 9.262 7.398
angles: 104.88 104.88 29.84
Fractional positions:
Pm 0.022 0.022 0.291
Pm 0.200 0.200 0.805
Pm 0.336 0.336 0.542
Pm 0.406 0.406 0.035
Pm 0.594 0.594 0.965
Pm 0.664 0.664 0.458
Pm 0.800 0.800 0.195
Pm 0.978 0.978 0.709
Si 0.190 0.190 0.204
Si 0.810 0.810 0.796
Tc 0.500 0.500 0.500


Material: ZnSOF2
Method: DFT, PBE-GGA
State: optimized geometry

Results
energy above the lowest structure with this stoichiometry = 0.00 kJ/mol of atoms
symmetry = P4/mmm, No. 123
density = 3791 kg/m3
E_form (uncorrected) = -0.515 eV/atom

abc: 3.790 3.790 4.620
angles: 90.00 90.00 90.00
Fractional positions:
Zn 0.000 0.000 0.000
S 0.500 0.500 0.500
O 0.000 0.000 0.500
F 0.000 0.500 0.000
F 0.500 0.000 0.000


Material: MgReBr2
Method: DFT, PBE-GGA
State: optimized geometry

Results
energy above the lowest structure with this stoichiometry = 50.73 kJ/mol of atoms
symmetry = P2/m, No. 10
density = 7471 kg/m3
E_form (uncorrected) = 0.572 eV/atom

abc: 3.308 4.341 5.733
angles: 90.00 91.11 90.00
Fractional positions:
Mg 0.000 0.000 0.000
Re 0.500 0.000 0.500
Br 0.338 0.500 0.261
Br 0.662 0.500 0.739